This record from the Alexandria database describes Ca2CoRh after structural relaxation. The functional is PBE.

Cell and atoms, written as CIF:
```
data_Ca2CoRh
_cell_length_a 7.813
_cell_length_b 7.813
_cell_length_c 7.813
_cell_angle_alpha 30.33
_cell_angle_beta 30.33
_cell_angle_gamma 30.33
_symmetry_space_group_name_H-M 'P 1'
_symmetry_Int_Tables_number 1
_symmetry_space_group_name_Hall 'P 1'
loop_
_atom_site_label
_atom_site_fract_x
_atom_site_fract_y
_atom_site_fract_z
_atom_site_occupancy
Co1 0.458 0.458 0.458 1
Ca1 0.039 0.039 0.039 1
Ca2 0.211 0.211 0.211 1
Rh1 0.792 0.792 0.792 1
```

Electronic total energy (eV/cell): -19.0
Energy relative to the elements (eV per atom): -0.14
SG: R3m (160)
ρ (Mg/m³): 3.73
Volume (Å³/cell): 108

=====

This record from the Alexandria database describes CaCoRh after structural relaxation. The functional is PBE.

Cell and atoms, written as CIF:
```
data_CaCoRh
_cell_length_a 4.414
_cell_length_b 4.414
_cell_length_c 4.414
_cell_angle_alpha 60.00
_cell_angle_beta 60.00
_cell_angle_gamma 60.00
_symmetry_space_group_name_H-M 'P 1'
_symmetry_Int_Tables_number 1
_symmetry_space_group_name_Hall 'P 1'
loop_
_atom_site_label
_atom_site_fract_x
_atom_site_fract_y
_atom_site_fract_z
_atom_site_occupancy
Co1 0.000 0.000 0.000 1
Ca1 0.750 0.750 0.750 1
Rh1 0.500 0.500 0.500 1
```

Electronic total energy (eV/cell): -13.4
Energy relative to the elements (eV per atom): 1.02
SG: F-43m (216)
ρ (Mg/m³): 5.51
Volume (Å³/cell): 61

=====

This record from the Alexandria database describes CaCo2Rh after structural relaxation. The functional is PBE.

Cell and atoms, written as CIF:
```
data_CaCo2Rh
_cell_length_a 4.141
_cell_length_b 3.857
_cell_length_c 3.857
_cell_angle_alpha 90.00
_cell_angle_beta 90.00
_cell_angle_gamma 90.00
_symmetry_space_group_name_H-M 'P 1'
_symmetry_Int_Tables_number 1
_symmetry_space_group_name_Hall 'P 1'
loop_
_atom_site_label
_atom_site_fract_x
_atom_site_fract_y
_atom_site_fract_z
_atom_site_occupancy
Co1 0.000 0.000 0.000 1
Co2 0.000 0.500 0.500 1
Ca1 0.500 0.000 0.500 1
Rh1 0.500 0.500 0.000 1
```

Electronic total energy (eV/cell): -22.2
Energy relative to the elements (eV per atom): 0.33
SG: P4/mmm (123)
ρ (Mg/m³): 7.03
Volume (Å³/cell): 62

=====

This record from the Alexandria database describes CaCo2Rh after structural relaxation. The functional is PBE.

Cell and atoms, written as CIF:
```
data_CaCo2Rh
_cell_length_a 4.851
_cell_length_b 4.851
_cell_length_c 4.851
_cell_angle_alpha 132.00
_cell_angle_beta 132.00
_cell_angle_gamma 70.23
_symmetry_space_group_name_H-M 'P 1'
_symmetry_Int_Tables_number 1
_symmetry_space_group_name_Hall 'P 1'
loop_
_atom_site_label
_atom_site_fract_x
_atom_site_fract_y
_atom_site_fract_z
_atom_site_occupancy
Co1 0.000 0.000 0.000 1
Co2 0.500 0.500 0.000 1
Ca1 0.750 0.250 0.500 1
Rh1 0.250 0.750 0.500 1
```

Electronic total energy (eV/cell): -22.2
Energy relative to the elements (eV per atom): 0.35
SG: I4/mmm (139)
ρ (Mg/m³): 7.01
Volume (Å³/cell): 62

=====

This record from the Alexandria database describes CaCo2Rh after structural relaxation. The functional is PBE.

Cell and atoms, written as CIF:
```
data_CaCo2Rh
_cell_length_a 4.420
_cell_length_b 4.420
_cell_length_c 4.420
_cell_angle_alpha 119.86
_cell_angle_beta 119.86
_cell_angle_gamma 90.24
_symmetry_space_group_name_H-M 'P 1'
_symmetry_Int_Tables_number 1
_symmetry_space_group_name_Hall 'P 1'
loop_
_atom_site_label
_atom_site_fract_x
_atom_site_fract_y
_atom_site_fract_z
_atom_site_occupancy
Co1 0.000 0.000 0.000 1
Co2 0.250 0.750 0.500 1
Ca1 0.750 0.250 0.500 1
Rh1 0.500 0.500 0.000 1
```

Electronic total energy (eV/cell): -22.3
Energy relative to the elements (eV per atom): 0.31
SG: I-4m2 (119)
ρ (Mg/m³): 7.08
Volume (Å³/cell): 61

=====

This record from the Alexandria database describes Ca2CoRh after structural relaxation. The functional is PBE.

Cell and atoms, written as CIF:
```
data_Ca2CoRh
_cell_length_a 5.535
_cell_length_b 5.535
_cell_length_c 5.535
_cell_angle_alpha 135.93
_cell_angle_beta 135.93
_cell_angle_gamma 64.09
_symmetry_space_group_name_H-M 'P 1'
_symmetry_Int_Tables_number 1
_symmetry_space_group_name_Hall 'P 1'
loop_
_atom_site_label
_atom_site_fract_x
_atom_site_fract_y
_atom_site_fract_z
_atom_site_occupancy
Co1 0.500 0.500 0.000 1
Ca1 0.000 0.000 0.000 1
Ca2 0.250 0.750 0.500 1
Rh1 0.750 0.250 0.500 1
```

Electronic total energy (eV/cell): -17.6
Energy relative to the elements (eV per atom): 0.21
SG: I-4m2 (119)
ρ (Mg/m³): 4.96
Volume (Å³/cell): 81

=====

This record from the Alexandria database describes CaCo2Rh after structural relaxation. The functional is PBE.

Cell and atoms, written as CIF:
```
data_CaCo2Rh
_cell_length_a 9.015
_cell_length_b 9.015
_cell_length_c 9.015
_cell_angle_alpha 18.00
_cell_angle_beta 18.00
_cell_angle_gamma 18.00
_symmetry_space_group_name_H-M 'P 1'
_symmetry_Int_Tables_number 1
_symmetry_space_group_name_Hall 'P 1'
loop_
_atom_site_label
_atom_site_fract_x
_atom_site_fract_y
_atom_site_fract_z
_atom_site_occupancy
Co1 0.992 0.992 0.992 1
Co2 0.508 0.508 0.508 1
Ca1 0.750 0.750 0.750 1
Rh1 0.250 0.250 0.250 1
```

Electronic total energy (eV/cell): -21.2
Energy relative to the elements (eV per atom): 0.60
SG: R-3m (166)
ρ (Mg/m³): 7.09
Volume (Å³/cell): 61

=====

This record from the Alexandria database describes CaCo2Rh after structural relaxation. The functional is PBE.

Cell and atoms, written as CIF:
```
data_CaCo2Rh
_cell_length_a 5.559
_cell_length_b 5.559
_cell_length_c 5.559
_cell_angle_alpha 43.84
_cell_angle_beta 43.84
_cell_angle_gamma 43.84
_symmetry_space_group_name_H-M 'P 1'
_symmetry_Int_Tables_number 1
_symmetry_space_group_name_Hall 'P 1'
loop_
_atom_site_label
_atom_site_fract_x
_atom_site_fract_y
_atom_site_fract_z
_atom_site_occupancy
Co1 0.939 0.939 0.939 1
Co2 0.253 0.253 0.253 1
Ca1 0.750 0.750 0.750 1
Rh1 0.558 0.558 0.558 1
```

Electronic total energy (eV/cell): -23.4
Energy relative to the elements (eV per atom): 0.03
SG: R3m (160)
ρ (Mg/m³): 5.79
Volume (Å³/cell): 75

=====

This record from the Alexandria database describes CaCo2Rh after structural relaxation. The functional is PBE.

Cell and atoms, written as CIF:
```
data_CaCo2Rh
_cell_length_a 2.804
_cell_length_b 3.665
_cell_length_c 6.238
_cell_angle_alpha 90.00
_cell_angle_beta 90.00
_cell_angle_gamma 90.00
_symmetry_space_group_name_H-M 'P 1'
_symmetry_Int_Tables_number 1
_symmetry_space_group_name_Hall 'P 1'
loop_
_atom_site_label
_atom_site_fract_x
_atom_site_fract_y
_atom_site_fract_z
_atom_site_occupancy
Co1 0.000 0.000 0.064 1
Co2 0.000 0.000 0.436 1
Ca1 0.500 0.500 0.750 1
Rh1 0.500 0.500 0.250 1
```

Electronic total energy (eV/cell): -22.5
Energy relative to the elements (eV per atom): 0.26
SG: Pmmm (47)
ρ (Mg/m³): 6.76
Volume (Å³/cell): 64

=====

This record from the Alexandria database describes CaCo2Rh after structural relaxation. The functional is PBE.

Cell and atoms, written as CIF:
```
data_CaCo2Rh
_cell_length_a 4.395
_cell_length_b 4.395
_cell_length_c 3.133
_cell_angle_alpha 90.00
_cell_angle_beta 90.00
_cell_angle_gamma 89.97
_symmetry_space_group_name_H-M 'P 1'
_symmetry_Int_Tables_number 1
_symmetry_space_group_name_Hall 'P 1'
loop_
_atom_site_label
_atom_site_fract_x
_atom_site_fract_y
_atom_site_fract_z
_atom_site_occupancy
Co1 0.000 0.000 0.000 1
Co2 0.500 0.500 0.000 1
Ca1 0.000 0.500 0.500 1
Rh1 0.500 0.000 0.500 1
```

Electronic total energy (eV/cell): -22.3
Energy relative to the elements (eV per atom): 0.32
SG: P4/mmm (123)
ρ (Mg/m³): 7.16
Volume (Å³/cell): 61

=====

This record from the Alexandria database describes Ca2Co2Rh after structural relaxation. The functional is PBE.

Cell and atoms, written as CIF:
```
data_Ca2Co2Rh
_cell_length_a 6.418
_cell_length_b 6.418
_cell_length_c 4.510
_cell_angle_alpha 90.00
_cell_angle_beta 90.00
_cell_angle_gamma 90.00
_symmetry_space_group_name_H-M 'P 1'
_symmetry_Int_Tables_number 1
_symmetry_space_group_name_Hall 'P 1'
loop_
_atom_site_label
_atom_site_fract_x
_atom_site_fract_y
_atom_site_fract_z
_atom_site_occupancy
Co1 0.378 0.878 0.000 1
Co2 0.878 0.622 0.000 1
Co3 0.622 0.122 0.000 1
Co4 0.122 0.378 0.000 1
Ca1 0.184 0.684 0.500 1
Ca2 0.684 0.816 0.500 1
Ca3 0.816 0.316 0.500 1
Ca4 0.316 0.184 0.500 1
Rh1 0.000 0.000 0.000 1
Rh2 0.500 0.500 0.000 1
```

Electronic total energy (eV/cell): -50.6
Energy relative to the elements (eV per atom): 0.06
SG: P4/mbm (127)
ρ (Mg/m³): 5.38
Volume (Å³/cell): 186

=====

This record from the Alexandria database describes CaCo2Rh after structural relaxation. The functional is PBE.

Cell and atoms, written as CIF:
```
data_CaCo2Rh
_cell_length_a 3.167
_cell_length_b 4.320
_cell_length_c 4.458
_cell_angle_alpha 90.00
_cell_angle_beta 90.00
_cell_angle_gamma 90.00
_symmetry_space_group_name_H-M 'P 1'
_symmetry_Int_Tables_number 1
_symmetry_space_group_name_Hall 'P 1'
loop_
_atom_site_label
_atom_site_fract_x
_atom_site_fract_y
_atom_site_fract_z
_atom_site_occupancy
Co1 0.000 0.000 0.000 1
Co2 0.500 0.500 0.000 1
Ca1 0.000 0.500 0.500 1
Rh1 0.500 0.000 0.500 1
```

Electronic total energy (eV/cell): -22.3
Energy relative to the elements (eV per atom): 0.31
SG: Pmmm (47)
ρ (Mg/m³): 7.10
Volume (Å³/cell): 61